# 1
VASP calculation (GGA-PBE) on crystalline KAlMo at its relaxed geometry.

Structure (POSCAR):
```
KAlMo
1.0
2.745 0.000 0.000
0.000 4.367 0.000
0.000 0.000 12.695
K Al Mo
2 2 2
Direct
0.000 0.000 0.000
0.500 0.500 0.500
0.000 0.000 0.276
0.500 0.500 0.776
0.000 0.000 0.724
0.500 0.500 0.224
```

Summary:
- space group = Imm2
- formation energy from the elements (eV per atom) = 0.6947
- distance to the lowest polymorph of the same formula (eV per atom) = 0.035


# 2
VASP calculation (GGA-PBE) on crystalline KAlMo at its relaxed geometry.

Structure (POSCAR):
```
KAlMo
1.0
2.792 0.000 0.000
0.000 2.792 0.000
0.000 0.000 16.144
K Al Mo
2 2 2
Direct
0.000 0.000 0.000
0.500 0.500 0.500
0.000 0.000 0.316
0.500 0.500 0.816
0.000 0.000 0.693
0.500 0.500 0.193
```

Summary:
- space group = I4mm
- formation energy from the elements (eV per atom) = 0.6601
- distance to the lowest polymorph of the same formula (eV per atom) = 0.000


# 3
VASP calculation (GGA-PBE) on crystalline KAlMo at its relaxed geometry.

Structure (POSCAR):
```
KAlMo
1.0
3.617 0.000 0.000
0.000 3.617 0.000
0.000 0.000 12.561
K Al Mo
2 2 2
Direct
0.000 0.000 0.000
0.500 0.500 0.500
0.000 0.000 0.264
0.500 0.500 0.764
0.000 0.000 0.735
0.500 0.500 0.235
```

Summary:
- space group = I4mm
- formation energy from the elements (eV per atom) = 0.7402
- distance to the lowest polymorph of the same formula (eV per atom) = 0.080


# 4
VASP calculation (GGA-PBE) on crystalline KAl2Mo at its relaxed geometry.

Structure (POSCAR):
```
KAl2Mo
1.0
2.825 0.000 0.000
0.000 4.505 0.000
-0.013 0.000 7.958
K Al Mo
1 2 1
Direct
0.000 0.000 0.000
0.497 0.000 0.401
0.498 0.500 0.655
0.997 0.500 0.380
```

Summary:
- space group = Pm
- formation energy from the elements (eV per atom) = 0.3859
- distance to the lowest polymorph of the same formula (eV per atom) = 0.145


# 5
VASP calculation (GGA-PBE) on crystalline KAl2Mo at its relaxed geometry.

Structure (POSCAR):
```
KAl2Mo
1.0
7.308 0.000 0.000
0.000 7.321 0.000
0.000 0.000 2.845
K Al Mo
2 4 2
Direct
0.000 0.000 0.000
0.500 0.500 0.000
0.250 0.250 0.500
0.250 0.750 0.500
0.750 0.250 0.500
0.750 0.750 0.500
0.000 0.500 0.000
0.500 0.000 0.000
```

Summary:
- space group = Cmmm
- formation energy from the elements (eV per atom) = 0.6430
- distance to the lowest polymorph of the same formula (eV per atom) = 0.402


# 6
VASP calculation (GGA-PBE) on crystalline KAl2Mo at its relaxed geometry.

Structure (POSCAR):
```
KAl2Mo
1.0
4.143 0.000 0.000
0.000 4.143 0.000
0.000 0.000 9.295
K Al Mo
2 4 2
Direct
0.000 0.000 0.000
0.500 0.500 0.500
0.000 0.000 0.500
0.000 0.500 0.250
0.500 0.000 0.750
0.500 0.500 0.000
0.000 0.500 0.750
0.500 0.000 0.250
```

Summary:
- space group = I-4m2
- formation energy from the elements (eV per atom) = 1.0048
- distance to the lowest polymorph of the same formula (eV per atom) = 0.764


# 7
VASP calculation (GGA-PBE) on crystalline KAlMo at its relaxed geometry.

Structure (POSCAR):
```
KAlMo
1.0
7.302 0.000 0.000
0.000 7.302 0.000
0.000 0.000 7.302
K Al Mo
4 4 4
Direct
0.000 0.000 0.000
0.000 0.500 0.500
0.500 0.000 0.500
0.500 0.500 0.000
0.250 0.250 0.750
0.250 0.750 0.250
0.750 0.250 0.250
0.750 0.750 0.750
0.250 0.250 0.250
0.250 0.750 0.750
0.750 0.250 0.750
0.750 0.750 0.250
```

Summary:
- space group = F-43m
- formation energy from the elements (eV per atom) = 2.1241
- distance to the lowest polymorph of the same formula (eV per atom) = 1.464


# 8
VASP calculation (GGA-PBE) on crystalline KAl2Mo at its relaxed geometry.

Structure (POSCAR):
```
KAl2Mo
1.0
4.435 0.000 0.000
0.000 4.435 0.000
0.000 0.000 8.090
K Al Mo
2 4 2
Direct
0.000 0.000 0.000
0.500 0.500 0.500
0.000 0.500 0.250
0.000 0.500 0.750
0.500 0.000 0.250
0.500 0.000 0.750
0.000 0.000 0.500
0.500 0.500 0.000
```

Summary:
- space group = I4/mmm
- formation energy from the elements (eV per atom) = 0.8428
- distance to the lowest polymorph of the same formula (eV per atom) = 0.602


# 9
VASP calculation (GGA-PBE) on crystalline K3AlMo at its relaxed geometry.

Structure (POSCAR):
```
K3AlMo
1.0
6.562 0.000 0.000
0.000 6.562 0.000
0.000 0.000 6.562
K Al Mo
3 1 1
Direct
0.000 0.000 0.500
0.000 0.500 0.000
0.500 0.000 0.000
0.000 0.000 0.000
0.500 0.500 0.500
```

Summary:
- space group = Pm-3m
- formation energy from the elements (eV per atom) = 1.3712
- distance to the lowest polymorph of the same formula (eV per atom) = 0.000


# 10
VASP calculation (GGA-PBE) on crystalline KAl2Mo at its relaxed geometry.

Structure (POSCAR):
```
KAl2Mo
1.0
2.825 0.000 0.000
0.000 2.825 0.000
0.000 0.000 10.001
K Al Mo
1 2 1
Direct
0.000 0.000 0.000
0.000 0.000 0.494
0.500 0.500 0.701
0.500 0.500 0.303
```

Summary:
- space group = P4mm
- formation energy from the elements (eV per atom) = 0.4685
- distance to the lowest polymorph of the same formula (eV per atom) = 0.228


# 11
VASP calculation (GGA-PBE) on crystalline KAl2Mo at its relaxed geometry.

Structure (POSCAR):
```
KAl2Mo
1.0
2.946 0.000 0.000
-1.473 2.552 0.000
0.000 0.000 31.424
K Al Mo
3 6 3
Direct
0.000 0.000 0.000
0.333 0.667 0.667
0.667 0.333 0.333
0.000 0.000 0.237
0.000 0.000 0.499
0.333 0.667 0.165
0.333 0.667 0.904
0.667 0.333 0.571
0.667 0.333 0.832
0.000 0.000 0.764
0.333 0.667 0.431
0.667 0.333 0.098
```

Summary:
- space group = R3m
- formation energy from the elements (eV per atom) = 0.5328
- distance to the lowest polymorph of the same formula (eV per atom) = 0.292


# 12
VASP calculation (GGA-PBE) on crystalline KAlMo3 at its relaxed geometry.

Structure (POSCAR):
```
KAlMo3
1.0
4.805 0.000 0.000
0.000 4.805 0.000
0.000 0.000 4.805
K Al Mo
1 1 3
Direct
0.000 0.000 0.000
0.500 0.500 0.500
0.000 0.500 0.500
0.500 0.000 0.500
0.500 0.500 0.000
```

Summary:
- space group = Pm-3m
- formation energy from the elements (eV per atom) = 1.9336
- distance to the lowest polymorph of the same formula (eV per atom) = 0.000


Which value of formation energy from the elements does entry 11 give?
0.5328 eV per atom